Material: Pr8P3IrSe4
Method: DFT, PBE
State: relaxed

a = 8.459 Å, b = 8.547 Å, c = 8.459 Å
α = 119.66°, β = 120.00°, γ = 90.00°
Fractional coordinates of all 16 atoms:
Pr  0.242  0.731  0.989
Pr  0.256  0.268  0.512
Pr  0.744  0.732  0.488
Pr  0.746  0.731  0.989
Pr  0.758  0.269  0.516
Pr  0.758  0.269  0.011
Pr  0.242  0.731  0.484
Pr  0.254  0.269  0.011
P  0.500  0.500  0.500
P  0.000  0.500  0.500
P  0.500  0.500  0.000
Ir  0.000  0.500  0.000
Se  0.000  0.000  0.000
Se  0.500  0.000  0.500
Se  0.500  0.000  0.000
Se  0.000  0.000  0.500

Calculated values
Density   6.6 Mg/m³
D(E_F)   9.4 states/eV/cell
Symmetry   R-3m (166)
VASP energy   -6.428 eV per atom